No. 1
An optimized crystal structure of CePrRuPt. Source: Alexandria, functional PBE.

```
4
Lattice="0.0000 3.5496 3.5496 3.5496 0.0000 3.5496 3.5496 3.5496 0.0000" Properties=species:S:1:pos:R:3 pbc="T T T"
Ce 0.0000 0.0000 0.0000
Pr 3.5496 3.5496 3.5496
Ru 1.7748 1.7748 1.7748
Pt 5.3244 5.3244 5.3244
```

Energy above the lowest structure with this stoichiometry (meV/atom): 126
SG: No. 216
Total DFT energy (no corrections) (eV/atom): -7.06

=====

No. 2
An optimized crystal structure of ZrInSn3. Source: Alexandria, functional PBE.

```
5
Lattice="5.5764 0.0000 0.0000 0.0000 5.5764 0.0000 0.0000 0.0000 5.5764" Properties=species:S:1:pos:R:3 pbc="T T T"
Zr 0.0000 0.0000 0.0000
In 2.7882 2.7882 2.7882
Sn 0.0000 0.0000 2.7882
Sn 0.0000 2.7882 0.0000
Sn 2.7882 0.0000 0.0000
```

Energy above the lowest structure with this stoichiometry (meV/atom): 0
SG: No. 221
Total DFT energy (no corrections) (eV/atom): -4.43

=====

no.,D(E_F) (states/eV/atom),formation energy from the elements (eV per atom)
1,1.081,-0.56
2,0.362,0.22